Arrangement A

# Ba2GaSbS5

An optimized crystal structure of Ba2GaSbS5 (PBE, the Alexandria database).

a = 4.0861 Å, b = 18.1328 Å, c = 13.1789 Å
α = 90.00°, β = 90.00°, γ = 90.00°
With the nearest neighbours (Å) after each atom.
Space group Cmc2_1 (No. 36)
Asymmetric unit:
1 Ba 0.0000 0.1161 0.0000 [4 per cell]  8 S 3.18-3.48
2 Ba 0.0000 0.1300 0.6429 [4 per cell]  6 S 3.15-3.25
3 Ga 0.0000 0.4483 0.7362 [4 per cell]  4 S 2.26-2.41
4 Sb 0.0000 0.2027 0.3475 [4 per cell]  3 S 2.50-2.73
5 S 0.0000 0.0233 0.3247 [4 per cell]  2 Ga 2.41
6 S 0.0000 0.2912 0.9849 [4 per cell]  2 Sb 2.73
7 S 0.0000 0.3227 0.6961 [4 per cell]  1 Ga 2.34
8 S 0.0000 0.3393 0.3237 [4 per cell]  1 Sb 2.50
9 S 0.0000 0.4949 0.0835 [4 per cell]  1 Ga 2.26



Arrangement B

# Ba2GaSbS5

An optimized crystal structure of Ba2GaSbS5 (PBE, the Alexandria database).

a = 12.3460 Å, b = 8.9292 Å, c = 9.1855 Å
α = 90.00°, β = 90.00°, γ = 90.00°
With the nearest neighbours (Å) after each atom.
Space group Pnma (No. 62)
Asymmetric unit:
1 Ba 0.1764 0.0058 0.1229 [8 per cell]  8 S 3.29-3.45
2 Ga 0.0950 0.7500 0.8267 [4 per cell]  4 S 2.23-2.33
3 Sb 0.0231 0.7500 0.4774 [4 per cell]  3 S 2.46-2.55
4 S 0.0081 0.2500 0.9736 [4 per cell]  1 Ga 2.23
5 S 0.0553 0.5503 0.6717 [8 per cell]  1 Ga 2.33, 1 Sb 2.55
6 S 0.2094 0.7500 0.3829 [4 per cell]  1 Sb 2.46
7 S 0.2267 0.2500 0.3822 [4 per cell]  1 Ga 2.26



It turns out arrangement B is the most stable, with the second structure 0.045 eV/atom higher.



Arrangement A

# Ba2GaSb2

An optimized crystal structure of Ba2GaSb2 (PBE, the Alexandria database).

a = 8.5131 Å, b = 8.5131 Å, c = 5.0507 Å
α = 90.00°, β = 90.00°, γ = 90.00°
With the nearest neighbours (Å) after each atom.
Space group P4/mbm (No. 127)
Asymmetric unit:
1 Ba 0.1795 0.3205 0.0000 [4 per cell]  6 Sb 3.50-3.62
2 Ga 0.0000 0.0000 0.5000 [2 per cell]  4 Sb 3.40
3 Sb 0.1195 0.6195 0.5000 [4 per cell]  1 Sb 2.88



Arrangement B

# Ba2GaSb2

An optimized crystal structure of Ba2GaSb2 (PBE, the Alexandria database).

a = 13.0112 Å, b = 4.6408 Å, c = 13.1986 Å
α = 90.00°, β = 114.33°, γ = 90.00°
With the nearest neighbours (Å) after each atom.
Space group C2/m (No. 12)
Asymmetric unit:
1 Ba 0.0801 0.0000 0.4105 [4 per cell]  2 Ga 3.44, 6 Sb 3.59-3.81, 1 Ba 3.74
2 Ba 0.1746 0.5000 0.1466 [4 per cell]  7 Sb 3.58-3.81, 3 Ga 3.68-3.81
3 Ga 0.0731 0.5000 0.7859 [4 per cell]  3 Sb 2.70-2.74
4 Sb 0.0690 0.0000 0.8952 [4 per cell]  2 Ga 2.74
5 Sb 0.1677 0.5000 0.6386 [4 per cell]  1 Ga 2.70



Arrangement C

# Ba2GaSb2

An optimized crystal structure of Ba2GaSb2 (PBE, the Alexandria database).

a = 4.3603 Å, b = 4.3603 Å, c = 19.8922 Å
α = 90.00°, β = 90.00°, γ = 90.00°
With the nearest neighbours (Å) after each atom.
Space group I4/mmm (No. 139)
Asymmetric unit:
1 Ba 0.0000 0.0000 0.1052 [4 per cell]  4 Sb 3.61, 4 Ga 3.73
2 Ga 0.0000 0.0000 0.5000 [2 per cell]  8 Ba 3.73
3 Sb 0.0000 0.5000 0.2500 [4 per cell]  4 Sb 3.08



It turns out arrangement B is the most stable, with the second structure 0.070 eV/atom higher.



Arrangement A

# Ba2GaSb2

An optimized crystal structure of Ba2GaSb2 (PBE, the Alexandria database).

a = 9.8769 Å, b = 9.8769 Å, c = 3.9785 Å
α = 90.00°, β = 90.00°, γ = 90.00°
With the nearest neighbours (Å) after each atom.
Space group P4/mbm (No. 127)
Asymmetric unit:
1 Ba 0.1343 0.3657 0.0000 [4 per cell]  6 Sb 3.42-3.59, 1 Ba 3.75
2 Ga 0.0000 0.0000 0.0000 [2 per cell]  4 Ba 3.85, 2 Ga 3.98, 8 Sb 4.18
3 Sb 0.1666 0.6666 0.5000 [4 per cell]  6 Ba 3.42-3.59



Arrangement B

# Ba2GaSb2

An optimized crystal structure of Ba2GaSb2 (PBE, the Alexandria database).

a = 10.2145 Å, b = 14.3768 Å, c = 7.1692 Å
α = 90.00°, β = 134.49°, γ = 90.00°
With the nearest neighbours (Å) after each atom.
Space group C2/c (No. 15)
Asymmetric unit:
1 Ba 0.2021 0.1368 0.2023 [8 per cell]  2 Ga 3.43, 6 Sb 3.56-3.72
2 Ga 0.0000 0.4998 0.2500 [4 per cell]  4 Sb 2.88-2.89
3 Sb 0.2103 0.3846 0.2105 [8 per cell]  2 Ga 2.88-2.89



It turns out arrangement B is the most stable, with the second structure 0.362 eV/atom higher.



Arrangement A

# BaGa3Sb

An optimized crystal structure of BaGa3Sb (PBE, the Alexandria database).

a = 5.4430 Å, b = 5.4430 Å, c = 5.4430 Å
α = 90.00°, β = 90.00°, γ = 90.00°
With the nearest neighbours (Å) after each atom.
Space group Pm-3m (No. 221)
Asymmetric unit:
1 Ba 0.0000 0.0000 0.0000 [1 per cell]  12 Ga 3.85
2 Ga 0.0000 0.5000 0.5000 [3 per cell]  2 Sb 2.72
3 Sb 0.5000 0.5000 0.5000 [1 per cell]  6 Ga 2.72



Arrangement B

# BaGa3Sb

An optimized crystal structure of BaGa3Sb (PBE, the Alexandria database).

a = 5.9001 Å, b = 5.9001 Å, c = 5.9001 Å
α = 90.00°, β = 90.00°, γ = 90.00°
With the nearest neighbours (Å) after each atom.
Space group Pm-3m (No. 221)
Asymmetric unit:
1 Ba 0.0000 0.0000 0.0000 [1 per cell]  6 Ga 2.95
2 Ga 0.0000 0.0000 0.5000 [3 per cell]  2 Ba 2.95
3 Sb 0.5000 0.5000 0.5000 [1 per cell]  12 Ga 4.17



It turns out arrangement A is the most stable, with the second structure 0.849 eV/atom higher.